No. 1
Here is PdPtSe3 after structural relaxation from the Alexandria database. Energies are from PBE.

```
PdPtSe3
1.0
-2.9005 2.1688 -3.3744
-3.7418 -2.9634 1.3116
-1.4454 3.3193 3.3758
Se Pt Pd
3 1 1
direct
0.0000 0.0000 0.5000 Se
0.5000 0.0000 0.0000 Se
0.0000 0.5000 0.0000 Se
0.0000 0.0000 0.0000 Pt
0.5000 0.5000 0.5000 Pd
```

Calculated values
E_tot	-3.648	eV/atom
V	121	Å³ per cell
space group	No. 221

=====

No. 2
Here is PaNbHg after structural relaxation from the Alexandria database. Energies are from PBE.

```
PaNbHg
1.0
-2.6916 -0.0390 1.2587
0.6541 -5.4909 -2.2793
3.2098 -1.7168 6.8104
Hg Nb Pa
2 2 2
direct
0.1290 0.2580 0.9739 Hg
0.8710 0.7420 0.0261 Hg
0.7257 0.4515 0.6698 Nb
0.2743 0.5485 0.3302 Nb
0.5493 0.0986 0.3363 Pa
0.4507 0.9014 0.6637 Pa
```

Calculated values
formation enthalpy at 0 K	261	meV per atom
E_tot	-6.362	eV/atom
V	132	Å³ per cell
space group	No. 12